A relaxed Ac2ZrSc crystal. Source: Alexandria, functional PBE-GGA.

## Properties
The formation energy is 502 meV per atom.

a = 3.5374 Å, b = 3.5374 Å, c = 36.7943 Å
α = 90.00°, β = 90.00°, γ = 120.00°
Space group R-3m (No. 166, hexagonal axes)
Inequivalent atoms, fractional coordinates:
Ac  0.0000  0.0000  0.0871 x6
Zr  0.0000  0.0000  0.0000 x3
Sc  0.0000  0.0000  0.5000 x3

=====

A relaxed AcSe3 crystal. Source: Alexandria, functional PBE-GGA.

## Properties
The value obtained for the final energy is -4.806 eV per atom.

a = 4.048 Å, b = 4.048 Å, c = 7.992 Å
α = 90.00°, β = 90.00°, γ = 90.00°
Space group P4mm (No. 99)
Inequivalent atoms, fractional coordinates:
Ac  0.000  0.000  0.000 x1
Se  0.000  0.500  0.672 x2
Se  0.500  0.500  0.140 x1

=====

A relaxed AcSe2 crystal. Source: Alexandria, functional PBE-GGA.

## Properties
The value obtained for the final energy is -5.160 eV per atom.

a = 4.187 Å, b = 4.187 Å, c = 9.660 Å
α = 90.00°, β = 90.00°, γ = 90.00°
Space group I4/mmm (No. 139)
Inequivalent atoms, fractional coordinates:
Ac  0.000  0.000  0.000 x2
Se  0.000  0.000  0.355 x4

=====

A relaxed Ac3Se4 crystal. Source: Alexandria, functional PBE-GGA.

## Properties
The value obtained for the final energy is -5.726 eV per atom.

a = 9.390 Å, b = 9.390 Å, c = 9.390 Å
α = 90.00°, β = 90.00°, γ = 90.00°
Space group I-43d (No. 220)
Inequivalent atoms, fractional coordinates:
Ac  0.000  0.250  0.375 x12
Se  0.076  0.076  0.076 x16